[1]
This record from Alexandria via LeMat-Bulk describes a geometry-optimized LaAlZn2 structure. The functional is PBEsol.

a b c (Å): 5.919 5.919 5.919
angles (deg): 42.08 42.08 42.08
Fractional positions:
La (0.000, 0.000, 0.000)
Al (0.793, 0.793, 0.793)
Zn (0.208, 0.208, 0.208)
Zn (0.508, 0.508, 0.508)

---

[2]
This record from Alexandria via LeMat-Bulk describes a geometry-optimized La2AlZn structure. The functional is PBEsol.

a b c (Å): 3.671 3.671 7.611
angles (deg): 90.00 90.00 90.00
Fractional positions:
La (0.000, 0.000, 0.246)
La (0.000, 0.000, 0.754)
Al (0.500, 0.500, 0.500)
Zn (0.500, 0.500, 0.000)

---

[3]
This record from Alexandria via LeMat-Bulk describes a geometry-optimized LaAlZn structure. The functional is PBEsol.

a b c (Å): 4.570 4.570 3.799
angles (deg): 90.00 90.00 120.00
Fractional positions:
La (0.000, 0.000, 0.000)
Al (0.333, 0.667, 0.500)
Zn (0.667, 0.333, 0.500)

---

[4]
This record from Alexandria via LeMat-Bulk describes a geometry-optimized LaZrAl4 structure. The functional is PBEsol.

a b c (Å): 5.506 5.506 5.506
angles (deg): 60.00 60.00 60.00
Fractional positions:
La (0.000, 0.000, 0.000)
Zr (0.750, 0.750, 0.750)
Al (0.375, 0.375, 0.375)
Al (0.375, 0.375, 0.874)
Al (0.375, 0.874, 0.375)
Al (0.874, 0.375, 0.375)

---

[5]
This record from Alexandria via LeMat-Bulk describes a geometry-optimized LaZrAl2 structure. The functional is PBEsol.

a b c (Å): 3.155 4.158 6.756
angles (deg): 90.00 90.00 90.00
Fractional positions:
La (0.000, 0.000, 0.000)
Zr (0.000, 0.000, 0.500)
Al (0.500, 0.500, 0.296)
Al (0.500, 0.500, 0.704)

Values from the calculation:
energy relative to the lowest polymorph listed for this composition = 0.0 meV per atom

---

[6]
This record from Alexandria via LeMat-Bulk describes a geometry-optimized LaZrAl2 structure. The functional is PBEsol.

a b c (Å): 5.286 5.286 5.734
angles (deg): 102.86 102.86 36.84
Fractional positions:
La (0.000, 0.000, 0.000)
Zr (0.500, 0.500, 0.500)
Al (0.238, 0.238, 0.682)
Al (0.762, 0.762, 0.318)

Values from the calculation:
energy relative to the lowest polymorph listed for this composition = 253.2 meV per atom

---

[7]
This record from Alexandria via LeMat-Bulk describes a geometry-optimized LaZrAl2 structure. The functional is PBEsol.

a b c (Å): 5.277 5.277 5.277
angles (deg): 128.48 128.48 75.86
Fractional positions:
La (0.000, 0.000, 0.000)
Zr (0.500, 0.500, 0.000)
Al (0.250, 0.750, 0.500)
Al (0.750, 0.250, 0.500)

Values from the calculation:
energy relative to the lowest polymorph listed for this composition = 101.2 meV per atom

---

[8]
This record from Alexandria via LeMat-Bulk describes a geometry-optimized LaZr2Al2 structure. The functional is PBEsol.

a b c (Å): 6.836 6.836 6.836
angles (deg): 142.15 142.15 54.60
Fractional positions:
La (0.000, 0.000, 0.000)
Zr (0.386, 0.386, 0.000)
Zr (0.614, 0.614, 0.000)
Al (0.250, 0.750, 0.500)
Al (0.750, 0.250, 0.500)

---

Number 1: formation enthalpy at 0 K -1.15 eV per formula unit, magnetic moment 0.00 μB/cell. Number 2: formation enthalpy at 0 K -1.23 eV per formula unit, magnetic moment 0.00 μB/cell. Number 3: formation enthalpy at 0 K -1.14 eV per formula unit, magnetic moment 0.00 μB/cell. Number 4: formation enthalpy at 0 K -2.54 eV per formula unit, magnetic moment 0.00 μB/cell. Number 5: formation enthalpy at 0 K -1.43 eV per formula unit, magnetic moment 0.00 μB/cell. Number 6: formation enthalpy at 0 K -0.42 eV per formula unit, magnetic moment 0.00 μB/cell. Number 7: formation enthalpy at 0 K -1.02 eV per formula unit, magnetic moment 0.00 μB/cell. Number 8: formation enthalpy at 0 K 0.50 eV per formula unit, magnetic moment 0.00 μB/cell.